[1]
Nd4Er2TmSc PBE optimized geometry; space-group type = P4/mmm
1.0
5.104 0.000 0.000
0.000 4.984 1.057
0.000 2.949 10.648
Nd Tm Er Sc
4 1 2 1
Direct
0.500 0.254 0.746
0.000 0.246 0.255
0.000 0.754 0.745
0.500 0.746 0.254
0.500 0.500 0.000
0.500 0.000 0.500
0.000 0.000 0.000
0.000 0.500 0.500


[2]
NdEr5Tm2Sc PBE optimized geometry; space-group type = Cmc2_1
1.0
-3.429 0.372 -4.302
3.232 -9.645 0.124
-7.906 -2.571 6.080
Er Sc Nd Tm
10 2 2 4
Direct
0.723 0.447 0.822
0.298 0.597 0.706
0.520 0.040 0.238
0.378 0.756 0.021
0.018 0.036 0.021
0.277 0.553 0.322
0.480 0.960 0.738
0.702 0.403 0.206
0.622 0.244 0.521
0.982 0.964 0.521
0.804 0.608 0.514
0.196 0.392 0.014
0.413 0.826 0.451
0.587 0.174 0.951
0.114 0.227 0.736
0.111 0.223 0.314
0.886 0.773 0.236
0.889 0.777 0.814


[3]
Nd5ErTm2Sc PBE optimized geometry; space-group type = Cmc2_1
1.0
5.349 0.000 0.000
-2.675 10.887 0.000
0.000 0.000 10.247
Tm Nd Sc Er
4 10 2 2
Direct
0.116 0.231 0.761
0.115 0.230 0.254
0.884 0.769 0.261
0.885 0.770 0.754
0.500 0.000 0.258
0.720 0.441 0.197
0.500 0.000 0.758
0.279 0.558 0.321
0.999 0.999 0.008
0.001 0.001 0.508
0.627 0.254 0.508
0.373 0.746 0.008
0.721 0.442 0.821
0.280 0.559 0.697
0.787 0.574 0.509
0.213 0.426 0.009
0.601 0.202 0.008
0.399 0.798 0.508


[4]
NdEr2Tm6Sc3 PBE optimized geometry; space-group type = C2/m
1.0
5.992 0.001 0.017
-2.994 5.190 0.017
-1.028 -1.780 11.212
Tm Nd Sc Er
6 1 3 2
Direct
0.087 0.421 0.260
0.421 0.087 0.260
0.247 0.247 0.740
0.579 0.913 0.740
0.753 0.753 0.260
0.913 0.579 0.740
0.000 0.000 0.000
0.500 0.500 0.500
0.833 0.167 0.500
0.167 0.833 0.500
0.667 0.333 0.000
0.333 0.667 0.000


Asked for energy relative to the elements across the records above, the calculation gives 0.029 0.178 0.127 0.045 eV/atom in order.
Asked for raw total energy across the records above, the calculation gives -4.85 -4.58 -4.73 -4.93 eV/atom in order.